[1]
VASP calculation (SCAN) on MgCoTc2 at its PBEsol-relaxed geometry.

Properties
- Final energy: -22.807 eV per atom
- Calculated formation energy: 0.2924 eV per atom
- Total magnetization: 0.407 μB/atom

```
data_MgCoTc2
_cell_length_a 2.638
_cell_length_b 4.084
_cell_length_c 5.019
_cell_angle_alpha 90.00
_cell_angle_beta 90.00
_cell_angle_gamma 90.00
_space_group_name_H-M_alt 'P m m m'
_space_group_IT_number 47
_space_group_name_Hall '-P 2 2'
loop_
_atom_site_label
_atom_site_fract_x
_atom_site_fract_y
_atom_site_fract_z
_atom_site_occupancy
Mg1 0.000 0.000 0.000 1
Co1 0.000 0.000 0.500 1
Tc1 0.500 0.500 0.261 1
```

---

[2]
VASP calculation (SCAN) on MgCoTc at its PBEsol-relaxed geometry.

Properties
- Final energy: -18.962 eV per atom
- Calculated formation energy: 0.1503 eV per atom
- Total magnetization: 0.385 μB/atom

```
data_MgCoTc
_cell_length_a 2.736
_cell_length_b 2.736
_cell_length_c 11.022
_cell_angle_alpha 90.00
_cell_angle_beta 90.00
_cell_angle_gamma 90.00
_space_group_name_H-M_alt 'I 4 m m'
_space_group_IT_number 107
_space_group_name_Hall 'I 4 -2'
loop_
_atom_site_label
_atom_site_fract_x
_atom_site_fract_y
_atom_site_fract_z
_atom_site_occupancy
Mg1 0.000 0.000 0.000 1
Co1 0.000 0.000 0.670 1
Tc1 0.000 0.000 0.303 1
```

---

[3]
VASP calculation (SCAN) on MgCoTe2 at its PBEsol-relaxed geometry.

Properties
- Final energy: -23.990 eV per atom
- Total magnetization: 0.425 μB/atom

```
data_MgCoTe2
_cell_length_a 4.916
_cell_length_b 4.916
_cell_length_c 3.258
_cell_angle_alpha 90.00
_cell_angle_beta 90.00
_cell_angle_gamma 90.00
_space_group_name_H-M_alt 'P 4/m m m'
_space_group_IT_number 123
_space_group_name_Hall '-P 4 2'
loop_
_atom_site_label
_atom_site_fract_x
_atom_site_fract_y
_atom_site_fract_z
_atom_site_occupancy
Mg1 0.000 0.000 0.000 1
Co1 0.500 0.500 0.000 1
Te1 0.000 0.500 0.500 1
```

---

[4]
VASP calculation (SCAN) on MgTlCo at its PBEsol-relaxed geometry.

Properties
- Final energy: -31.074 eV per atom
- Calculated formation energy: 0.4715 eV per atom
- Total magnetization: 0.616 μB/atom

```
data_MgTlCo
_cell_length_a 6.219
_cell_length_b 6.219
_cell_length_c 6.219
_cell_angle_alpha 90.00
_cell_angle_beta 90.00
_cell_angle_gamma 90.00
_space_group_name_H-M_alt 'F -4 3 m'
_space_group_IT_number 216
_space_group_name_Hall 'F -4 2 3'
loop_
_atom_site_label
_atom_site_fract_x
_atom_site_fract_y
_atom_site_fract_z
_atom_site_occupancy
Mg1 0.000 0.000 0.000 1
Tl1 0.250 0.250 0.750 1
Co1 0.000 0.000 0.500 1
```

---

[5]
VASP calculation (SCAN) on Mg2TlCo at its PBEsol-relaxed geometry.

Properties
- E above lowest polymorph: 0.000 eV/atom
- Final energy: -24.901 eV per atom
- Calculated formation energy: 0.0016 eV per atom
- Total magnetization: 0.449 μB/atom

```
data_Mg2TlCo
_cell_length_a 6.562
_cell_length_b 6.562
_cell_length_c 6.562
_cell_angle_alpha 90.00
_cell_angle_beta 90.00
_cell_angle_gamma 90.00
_space_group_name_H-M_alt 'F m -3 m'
_space_group_IT_number 225
_space_group_name_Hall '-F 4 2 3'
loop_
_atom_site_label
_atom_site_fract_x
_atom_site_fract_y
_atom_site_fract_z
_atom_site_occupancy
Mg1 0.250 0.250 0.250 1
Tl1 0.000 0.000 0.000 1
Co1 0.000 0.000 0.500 1
```

---

[6]
VASP calculation (SCAN) on Mg2TlCo at its PBEsol-relaxed geometry.

Properties
- E above lowest polymorph: 0.262 eV/atom
- Final energy: -24.639 eV per atom
- Calculated formation energy: 0.2637 eV per atom
- Total magnetization: 0.424 μB/atom

```
data_Mg2TlCo
_cell_length_a 3.1316
_cell_length_b 3.1316
_cell_length_c 27.3708
_cell_angle_alpha 90.00
_cell_angle_beta 90.00
_cell_angle_gamma 120.00
_space_group_name_H-M_alt 'R 3 m'
_space_group_IT_number 160
_space_group_name_Hall 'R 3 -2"'
loop_
_atom_site_label
_atom_site_fract_x
_atom_site_fract_y
_atom_site_fract_z
_atom_site_occupancy
Mg1 0.0000 0.0000 0.0000 1
Mg2 0.0000 0.0000 0.2365 1
Tl1 0.0000 0.0000 0.7606 1
Co1 0.0000 0.0000 0.5006 1
```

---

[7]
VASP calculation (SCAN) on Mg2TlCo at its PBEsol-relaxed geometry.

Properties
- E above lowest polymorph: 0.113 eV/atom
- Final energy: -24.788 eV per atom
- Calculated formation energy: 0.1148 eV per atom
- Total magnetization: 0.433 μB/atom

```
data_Mg2TlCo
_cell_length_a 4.063
_cell_length_b 4.063
_cell_length_c 8.309
_cell_angle_alpha 90.00
_cell_angle_beta 90.00
_cell_angle_gamma 90.00
_space_group_name_H-M_alt 'I -4 m 2'
_space_group_IT_number 119
_space_group_name_Hall 'I -4 -2'
loop_
_atom_site_label
_atom_site_fract_x
_atom_site_fract_y
_atom_site_fract_z
_atom_site_occupancy
Mg1 0.000 0.000 0.000 1
Mg2 0.000 0.500 0.250 1
Tl1 0.000 0.000 0.500 1
Co1 0.000 0.500 0.750 1
```

---

[8]
VASP calculation (SCAN) on MgTlCo2 at its PBEsol-relaxed geometry.

Properties
- Final energy: -27.457 eV per atom
- Calculated formation energy: 0.5286 eV per atom
- Total magnetization: 0.002 μB/atom

```
data_MgTlCo2
_cell_length_a 3.110
_cell_length_b 3.110
_cell_length_c 5.952
_cell_angle_alpha 90.00
_cell_angle_beta 90.00
_cell_angle_gamma 90.00
_space_group_name_H-M_alt 'P 4/m m m'
_space_group_IT_number 123
_space_group_name_Hall '-P 4 2'
loop_
_atom_site_label
_atom_site_fract_x
_atom_site_fract_y
_atom_site_fract_z
_atom_site_occupancy
Mg1 0.000 0.000 0.000 1
Tl1 0.000 0.000 0.500 1
Co1 0.500 0.500 0.245 1
```

---

[9]
VASP calculation (SCAN) on MgTl2Co at its PBEsol-relaxed geometry.

Properties
- Final energy: -41.404 eV per atom
- Calculated formation energy: 0.3450 eV per atom
- Total magnetization: 0.482 μB/atom

```
data_MgTl2Co
_cell_length_a 4.388
_cell_length_b 4.388
_cell_length_c 3.991
_cell_angle_alpha 90.00
_cell_angle_beta 90.00
_cell_angle_gamma 90.00
_space_group_name_H-M_alt 'P 4/m m m'
_space_group_IT_number 123
_space_group_name_Hall '-P 4 2'
loop_
_atom_site_label
_atom_site_fract_x
_atom_site_fract_y
_atom_site_fract_z
_atom_site_occupancy
Mg1 0.000 0.000 0.000 1
Tl1 0.000 0.500 0.500 1
Co1 0.500 0.500 0.000 1
```

---

[10]
VASP calculation (SCAN) on Tm4MgCo at its PBEsol-relaxed geometry.

Properties
- Final energy: -38.399 eV per atom
- Calculated formation energy: -0.1316 eV per atom
- Total magnetization: 0.000 μB/atom

```
data_Tm4MgCo
_cell_length_a 13.146
_cell_length_b 13.146
_cell_length_c 13.146
_cell_angle_alpha 90.00
_cell_angle_beta 90.00
_cell_angle_gamma 90.00
_space_group_name_H-M_alt 'F -4 3 m'
_space_group_IT_number 216
_space_group_name_Hall 'F -4 2 3'
loop_
_atom_site_label
_atom_site_fract_x
_atom_site_fract_y
_atom_site_fract_z
_atom_site_occupancy
Tm1 0.000 0.000 0.186 1
Tm2 0.062 0.250 0.250 1
Tm3 0.156 0.156 0.656 1
Mg1 0.080 0.080 0.420 1
Co1 0.141 0.141 0.859 1
```

---

[11]
VASP calculation (SCAN) on Mg2CoW2 at its PBEsol-relaxed geometry.

Properties
- Final energy: -32.159 eV per atom
- Calculated formation energy: 1.1662 eV per atom
- Total magnetization: 0.430 μB/atom

```
data_Mg2CoW2
_cell_length_a 3.462
_cell_length_b 3.462
_cell_length_c 13.986
_cell_angle_alpha 90.00
_cell_angle_beta 90.00
_cell_angle_gamma 90.00
_space_group_name_H-M_alt 'I 4/m m m'
_space_group_IT_number 139
_space_group_name_Hall '-I 4 2'
loop_
_atom_site_label
_atom_site_fract_x
_atom_site_fract_y
_atom_site_fract_z
_atom_site_occupancy
Mg1 0.000 0.500 0.250 1
Co1 0.000 0.000 0.000 1
W1 0.000 0.000 0.417 1
```

---

[12]
VASP calculation (SCAN) on YMgCo2 at its PBEsol-relaxed geometry.

Properties
- Final energy: -16.594 eV per atom
- Calculated formation energy: 0.2624 eV per atom
- Total magnetization: 0.812 μB/atom

```
data_YMgCo2
_cell_length_a 6.372
_cell_length_b 6.372
_cell_length_c 6.372
_cell_angle_alpha 90.00
_cell_angle_beta 90.00
_cell_angle_gamma 90.00
_space_group_name_H-M_alt 'F -4 3 m'
_space_group_IT_number 216
_space_group_name_Hall 'F -4 2 3'
loop_
_atom_site_label
_atom_site_fract_x
_atom_site_fract_y
_atom_site_fract_z
_atom_site_occupancy
Y1 0.000 0.000 0.000 1
Mg1 0.250 0.250 0.250 1
Co1 0.000 0.000 0.500 1
Co2 0.250 0.250 0.750 1
```

---

[13]
VASP calculation (SCAN) on Y2MgCo at its PBEsol-relaxed geometry.

Properties
- Final energy: -19.697 eV per atom
- Calculated formation energy: -0.2065 eV per atom
- Total magnetization: 0.263 μB/atom

```
data_Y2MgCo
_cell_length_a 3.341
_cell_length_b 3.341
_cell_length_c 8.073
_cell_angle_alpha 90.00
_cell_angle_beta 90.00
_cell_angle_gamma 90.00
_space_group_name_H-M_alt 'P 4/m m m'
_space_group_IT_number 123
_space_group_name_Hall '-P 4 2'
loop_
_atom_site_label
_atom_site_fract_x
_atom_site_fract_y
_atom_site_fract_z
_atom_site_occupancy
Y1 0.000 0.000 0.198 1
Mg1 0.500 0.500 0.500 1
Co1 0.500 0.500 0.000 1
```

---

[14]
VASP calculation (SCAN) on YMgCo at its PBEsol-relaxed geometry.

Properties
- Final energy: -15.968 eV per atom
- Calculated formation energy: 0.7390 eV per atom
- Total magnetization: 0.306 μB/atom

```
data_YMgCo
_cell_length_a 6.344
_cell_length_b 6.344
_cell_length_c 6.344
_cell_angle_alpha 90.00
_cell_angle_beta 90.00
_cell_angle_gamma 90.00
_space_group_name_H-M_alt 'F -4 3 m'
_space_group_IT_number 216
_space_group_name_Hall 'F -4 2 3'
loop_
_atom_site_label
_atom_site_fract_x
_atom_site_fract_y
_atom_site_fract_z
_atom_site_occupancy
Y1 0.000 0.000 0.000 1
Mg1 0.250 0.250 0.250 1
Co1 0.000 0.000 0.500 1
```

---

[15]
VASP calculation (SCAN) on YMgCo2 at its PBEsol-relaxed geometry.

Properties
- Final energy: -16.757 eV per atom
- Calculated formation energy: 0.0997 eV per atom
- Total magnetization: 0.671 μB/atom

```
data_YMgCo2
_cell_length_a 8.188
_cell_length_b 3.958
_cell_length_c 5.358
_cell_angle_alpha 90.00
_cell_angle_beta 120.95
_cell_angle_gamma 90.00
_space_group_name_H-M_alt 'C 1 2/m 1'
_space_group_IT_number 12
_space_group_name_Hall '-C 2y'
loop_
_atom_site_label
_atom_site_fract_x
_atom_site_fract_y
_atom_site_fract_z
_atom_site_occupancy
Y1 0.000 0.000 0.000 1
Mg1 0.000 0.500 0.500 1
Co1 0.222 0.000 0.576 1
```